No. 1
VASP calculation (GGA-PBE) on Bi3IrPb after structural relaxation.

Calculated values
- density of states at the Fermi level (states/eV/atom) = 0.51
- energy above the lowest structure with this stoichiometry (kJ per mole of atoms) = 0.0
- ρ (g cm⁻³) = 11.57
- calculated formation energy (kJ/mol of atoms) = 5.7

Lattice parameters (Å, degrees): 6.4935 6.6077 8.9980 90.00 130.27 90.00
Space group Pc (No. 7)
Symmetry-distinct sites (fractional):
Bi: 0.0000 0.1465 0.0000 [2 per cell]
Bi: 0.3764 0.2601 0.8062 [2 per cell]
Bi: 0.9075 0.3267 0.3080 [2 per cell]
Ir: 0.3627 0.4350 0.0825 [2 per cell]
Pb: 0.5543 0.2515 0.4640 [2 per cell]

=====

No. 2
VASP calculation (GGA-PBE) on PtAuBr2 after structural relaxation.

Calculated values
- ΔE_f (raw) (meV per atom) = 722
- density of states at the Fermi level (states/eV/atom) = 1.66
- energy above the lowest structure with this stoichiometry (kJ per mole of atoms) = 67.2
- ρ (g cm⁻³) = 11.00

Lattice parameters (Å, degrees): 6.9321 6.9321 6.9321 90.00 90.00 90.00
Space group Fm-3m (No. 225)
Symmetry-distinct sites (fractional):
Pt: 0.0000 0.0000 0.0000 [4 per cell]
Au: 0.0000 0.0000 0.5000 [4 per cell]
Br: 0.2500 0.2500 0.2500 [8 per cell]

=====

No. 3
VASP calculation (GGA-PBE) on RbCeIn2F8 after structural relaxation.

Calculated values
- ΔE_f (raw) (meV per atom) = -2808
- density of states at the Fermi level (states/eV/atom) = 0.53
- ρ (g cm⁻³) = 4.81

Lattice parameters (Å, degrees): 4.1418 8.3536 6.0580 90.00 90.14 90.00
Space group P2/m (No. 10)
Symmetry-distinct sites (fractional):
Rb: 0.0000 0.0000 0.0000 [1 per cell]
Ce: 0.0000 0.5000 0.0000 [1 per cell]
In: 0.5000 0.2321 0.5000 [2 per cell]
F: 0.0008 0.2895 0.2462 [4 per cell]
F: 0.4985 0.0000 0.7064 [2 per cell]
F: 0.4993 0.5000 0.7926 [2 per cell]

=====

No. 4
VASP calculation (GGA-PBE) on CoP2RhCl after structural relaxation.

Calculated values
- ΔE_f (raw) (meV per atom) = 828
- density of states at the Fermi level (states/eV/atom) = 0.76
- energy above the lowest structure with this stoichiometry (kJ per mole of atoms) = 19.9
- ρ (g cm⁻³) = 4.19

Lattice parameters (Å, degrees): 4.5106 4.5106 5.0471 90.00 90.00 90.00
Space group P4/mmm (No. 123)
Symmetry-distinct sites (fractional):
Co: 0.0000 0.0000 0.0000 [1 per cell]
P: 0.0000 0.5000 0.5000 [2 per cell]
Rh: 0.5000 0.5000 0.5000 [1 per cell]
Cl: 0.5000 0.5000 0.0000 [1 per cell]

=====

No. 5
VASP calculation (GGA-PBE) on Ho3Tl2Ni after structural relaxation.

Calculated values
- density of states at the Fermi level (states/eV/atom) = 0.70
- ρ (g cm⁻³) = 9.91
- calculated formation energy (kJ/mol of atoms) = -23.4

Lattice parameters (Å, degrees): 7.7138 10.7757 7.8739 90.00 99.83 90.00
Space group C2/m (No. 12)
Symmetry-distinct sites (fractional):
Ho: 0.1699 0.0000 0.1690 [4 per cell]
Ho: 0.2241 0.1778 0.7771 [8 per cell]
Tl: 0.0000 0.0000 0.5000 [2 per cell]
Tl: 0.0000 0.3591 0.5000 [4 per cell]
Tl: 0.0000 0.5000 0.0000 [2 per cell]
Ni: 0.0000 0.2104 0.0000 [4 per cell]

=====

No. 6
VASP calculation (GGA-PBE) on NaSrV after structural relaxation.

Calculated values
- density of states at the Fermi level (states/eV/atom) = 0.89
- energy above the lowest structure with this stoichiometry (kJ per mole of atoms) = 16.3
- ρ (g cm⁻³) = 2.56
- calculated formation energy (kJ/mol of atoms) = 54.2

Lattice parameters (Å, degrees): 4.2728 6.1927 8.6696 108.77 92.15 103.75
Space group P1 (No. 1)
Symmetry-distinct sites (fractional):
Na: 0.0000 0.0000 0.0000 [1 per cell]
Na: 0.0575 0.2457 0.4263 [1 per cell]
Sr: 0.3866 0.8958 0.6470 [1 per cell]
Sr: 0.6555 0.5464 0.1488 [1 per cell]
V: 0.0948 0.4402 0.8150 [1 per cell]
V: 0.7110 0.4826 0.7443 [1 per cell]